## Pu2HRh (PBE)

Data for crystalline Pu2HRh at its relaxed geometry.

Structure (POSCAR):
```
Pu2HRh
1.0
-0.1039 2.6810 -1.6660
1.0164 -1.5497 -2.5572
-6.6103 -1.3723 -1.7958
Pu H Rh
2 1 1
Cartesian
-1.8161 -0.3770 -0.4934
-4.7942 -0.9952 -1.3024
-2.8489 -0.1205 -3.0095
0.4562 0.5656 -2.1116
```

Calculated values
Size of the total moment: 11.399 μB per formula unit
Energy relative to the lowest polymorph listed for this composition: 58 meV/atom
SG: P4/mmm
D(E_F): 11.12 states/eV/cell
Raw total energy: -0.7377 Ry/atom

## Pu2H2Rh (PBE)

Data for crystalline Pu2H2Rh at its relaxed geometry.

Structure (POSCAR):
```
Pu2H2Rh
1.0
3.7454 0.0000 0.0000
-1.8727 3.2436 0.0000
0.0000 0.0000 6.7220
Pu Rh H
2 1 2
Cartesian
1.8727 1.0812 4.9165
0.0000 2.1624 1.8055
0.0000 0.0000 0.0000
1.8727 1.0812 2.6115
0.0000 2.1624 4.1105
```

Calculated values
Size of the total moment: 10.840 μB per formula unit
Energy relative to the lowest polymorph listed for this composition: 0 meV/atom
SG: P-3m1
D(E_F): 15.07 states/eV/cell
Raw total energy: -0.6488 Ry/atom

## PuHRh6 (PBE)

Data for crystalline PuHRh6 at its relaxed geometry.

Structure (POSCAR):
```
PuHRh6
1.0
-2.6062 -4.6757 1.2236
-0.4629 -3.9556 -3.7803
2.9217 -4.7025 0.5747
Rh H Pu
6 1 1
Cartesian
-0.8848 -4.1375 0.4497
0.1283 -3.7971 -1.9155
0.3471 -1.9275 -0.1287
-0.4946 -11.4063 -1.8533
-0.2758 -9.5366 -0.0665
0.7373 -9.1962 -2.4317
0.0000 0.0000 0.0000
-0.0737 -6.6669 -0.9910
```

Calculated values
Size of the total moment: 3.788 μB per formula unit
SG: R-3m
D(E_F): 15.15 states/eV/cell
Raw total energy: -0.5683 Ry/atom

## Pu2H5Rh2 (PBE)

Data for crystalline Pu2H5Rh2 at its relaxed geometry.

Structure (POSCAR):
```
Pu2H5Rh2
1.0
3.6659 0.0000 0.0000
-1.8329 5.4932 -0.3096
0.0000 -0.9717 4.8923
H Pu Rh
5 2 2
Cartesian
0.0000 3.8322 0.4364
1.8329 2.9168 1.9536
0.0000 1.6047 2.6291
0.0000 0.0000 0.0000
1.8329 0.6892 4.1463
0.0000 3.7865 2.9947
1.8329 0.7350 1.5880
1.8329 3.7746 0.4065
0.0000 0.7468 4.1762
```

Calculated values
Size of the total moment: 10.213 μB per formula unit
SG: C2/m
D(E_F): 17.06 states/eV/cell
Raw total energy: -0.5125 Ry/atom

## Pu2HRh (PBE)

Data for crystalline Pu2HRh at its relaxed geometry.

Structure (POSCAR):
```
Pu2HRh
1.0
-1.6253 0.6534 -2.8770
-2.9899 -0.3081 5.5665
1.5473 6.6143 1.7187
Pu H Rh
4 2 2
Cartesian
0.1491 6.4453 -0.0327
-3.2147 1.5506 4.8288
-2.2457 4.1964 0.8971
-1.7936 1.5155 2.7602
-0.3170 2.8278 1.4842
-1.7015 0.5464 0.5383
-3.5876 4.2319 3.5677
-1.4986 6.1020 2.8639
```

Calculated values
Size of the total moment: 0.000 μB per formula unit
Energy relative to the lowest polymorph listed for this composition: 0 meV/atom
SG: P-1
D(E_F): 23.39 states/eV/cell
Raw total energy: -0.7420 Ry/atom

## PuH12Rh7 (PBE)

Data for crystalline PuH12Rh7 at its relaxed geometry.

Structure (POSCAR):
```
PuH12Rh7
1.0
-9.5689 2.1313 -2.3592
2.2235 -5.0206 0.8115
-4.5415 -1.2282 2.9453
Rh H Pu
7 12 1
Cartesian
-11.6261 -1.2913 0.7202
-3.2389 -0.5858 0.4145
-8.6481 -3.5317 0.9831
-4.9468 -3.0897 0.7351
-4.7845 1.0656 -1.1796
-6.9402 -1.0278 0.6625
-0.2609 -2.8262 0.6773
-10.0706 -0.2910 0.1160
-10.1531 -2.7328 0.4581
-3.6871 -3.4032 2.3572
-6.2569 0.2627 -0.4869
-1.8164 -3.8265 1.2816
-6.7083 -2.8174 0.7751
-5.1787 -1.3001 0.6225
-1.7339 -1.3847 0.9394
-5.6301 -4.3802 1.8845
-8.1999 -0.7143 -0.9596
-8.5096 -1.7695 1.5566
-3.3774 -2.3480 -0.1590
0.0000 0.0000 0.0000
```

Calculated values
Size of the total moment: 3.983 μB per formula unit
SG: R-3
D(E_F): 19.76 states/eV/cell
Raw total energy: -0.3913 Ry/atom